This record from the Alexandria database describes a relaxed structure of Te2W. The functional is PBE-GGA.

a b c (Å): 3.556 3.556 14.928
angles (deg): 90.00 90.00 60.00
Atoms (fractional coordinates):
W 0.667 0.667 0.449
Te 0.333 0.333 0.571
Te 0.667 0.667 0.071
Te 0.333 0.333 0.328
W 0.333 0.333 0.949
Te 0.667 0.667 0.827

Results
For the raw total energy, the calculation gives -19.48 eV per formula unit. The calculation puts the density of states at the Fermi level at 0.0 states/eV/f.u. The symmetry is P-3m1, No. 164. As for the uncorrected formation energy: -83 meV/atom. For the spin magnetization, the calculation gives 0.00 μB/cell.